# AcH2Ru

A relaxed structure of AcH2Ru (PBE, Alexandria).

a b c (Å): 4.2465 4.2465 4.9314
angles (deg): 64.50 64.50 60.00
With the nearest neighbours (Å) after each atom.
Sites, in units of the cell vectors:
H (0.1334, 0.1334, 0.5997)  1 Ru 1.71
H (0.8666, 0.8666, 0.4003)  1 Ru 1.71
Ac (0.5000, 0.5000, 0.5000)  6 H 2.49
Ru (0.0000, 0.0000, 0.0000)  2 H 1.71

Results
- magnetization (Bohr magnetons per cell) = 0.76
- uncorrected energy (eV/atom) = -5.11
- ρ (g/cm³) = 8.20
- space group = R-3m